(1)
First-principles (PBE) data for crystalline YZnBi2 at its relaxed geometry, as listed in the Alexandria database.

Symmetry ... I-42d, No. 122
ΔH_f (0 K) ... -0.21 eV per atom
Total energy ... -4.086 eV per atom
Total magnetic moment ... 0.0 μB per formula unit

Cell: 8.027 8.027 6.686 Å, 53.11 53.11 90.00°
Element x y z (fractional)
Zn  0.250  0.750  0.500
Y  0.000  0.000  0.000
Zn  0.500  0.500  0.000
Bi  0.585  0.125  0.250
Bi  0.875  0.835  0.750
Bi  0.375  0.415  0.750
Bi  0.165  0.625  0.250
Y  0.750  0.250  0.500

(2)
First-principles (PBE) data for crystalline Li5Tl2Cd4 at its relaxed geometry, as listed in the Alexandria database.

Symmetry ... Pbam, No. 55
ΔH_f (0 K) ... -0.20 eV per atom
Total energy ... -1.832 eV per atom
Total magnetic moment ... 0.0 μB per formula unit

Cell: 3.292 7.493 17.968 Å, 90.00 90.00 90.00°
Element x y z (fractional)
Cd  0.500  0.797  0.947
Cd  0.500  0.919  0.631
Cd  0.500  0.581  0.131
Tl  0.500  0.048  0.795
Li  0.000  0.615  0.574
Tl  0.500  0.952  0.205
Li  0.000  0.385  0.426
Li  0.000  0.272  0.183
Tl  0.500  0.548  0.705
Li  0.000  0.500  0.000
Li  0.000  0.728  0.817
Tl  0.500  0.452  0.295
Li  0.000  0.000  0.500
Cd  0.500  0.703  0.447
Cd  0.500  0.297  0.553
Li  0.000  0.772  0.317
Cd  0.500  0.419  0.869
Li  0.000  0.228  0.683
Li  0.000  0.115  0.926
Cd  0.500  0.203  0.053
Li  0.000  0.885  0.074
Cd  0.500  0.081  0.369

(3)
First-principles (PBE) data for crystalline Ac3IrPb at its relaxed geometry, as listed in the Alexandria database.

Symmetry ... Pm-3m, No. 221
ΔH_f (0 K) ... -0.48 eV per atom
Total energy ... -5.457 eV per atom
Energy relative to the lowest polymorph listed for this composition ... 0.1228 eV/atom
Total magnetic moment ... 0.0 μB per formula unit

Cell: 5.804 5.804 5.804 Å, 90.00 90.00 90.00°
Element x y z (fractional)
Pb  0.500  0.500  0.500
Ac  0.000  0.000  0.500
Ac  0.000  0.500  0.000
Ac  0.500  0.000  0.000
Ir  0.000  0.000  0.000

(4)
First-principles (PBE) data for crystalline ScMn2I6 at its relaxed geometry, as listed in the Alexandria database.

Symmetry ... C2/c, No. 15
Energy relative to the elements, uncorrected ... -524 kJ/mol of formula units
Total energy ... -4.378 eV per atom
Energy relative to the lowest polymorph listed for this composition ... 0.0673 eV/atom
Total magnetic moment ... 9.0 μB per formula unit

Cell: 7.552 9.662 9.662 Å, 83.62 82.36 82.36°
Site moments in Bohr magnetons follow the coordinates.
Element x y z (fractional)
I  0.621  0.967  0.802  0.03
I  0.879  0.198  0.033  0.03
I  0.379  0.033  0.198  0.03
I  0.368  0.711  0.539  0.06
Sc  0.750  0.911  0.089  -0.42
Sc  0.250  0.089  0.911  -0.42
I  0.870  0.883  0.365  0.04
I  0.370  0.365  0.883  0.04
Mn  0.183  0.601  0.773  4.18
I  0.868  0.539  0.711  0.06
I  0.121  0.802  0.967  0.03
I  0.132  0.461  0.289  0.06
I  0.632  0.289  0.461  0.06
Mn  0.817  0.399  0.227  4.18
Mn  0.683  0.773  0.601  4.18
I  0.130  0.117  0.635  0.04
Mn  0.317  0.227  0.399  4.18
I  0.630  0.635  0.117  0.04

(5)
First-principles (PBE) data for crystalline LiAcSmCd at its relaxed geometry, as listed in the Alexandria database.

Symmetry ... F-43m, No. 216
ΔH_f (0 K) ... -0.09 eV per atom
Total energy ... -3.009 eV per atom
Total magnetic moment ... 0.0 μB per formula unit

Cell: 5.567 5.567 5.567 Å, 60.00 60.00 60.00°
Element x y z (fractional)
Sm  0.750  0.750  0.750
Cd  0.500  0.500  0.500
Ac  0.250  0.250  0.250
Li  0.000  0.000  0.000

(6)
First-principles (PBE) data for crystalline DyPuInO6 at its relaxed geometry, as listed in the Alexandria database.

Symmetry ... P-31c, No. 163
Energy relative to the elements, uncorrected ... -2111 kJ/mol of formula units
Total energy ... -8.144 eV per atom
Total magnetic moment ... 2.0 μB per formula unit

Cell: 5.690 5.690 9.081 Å, 90.00 90.00 120.00°
Site moments in Bohr magnetons follow the coordinates.
Element x y z (fractional)
O  0.974  0.325  0.130  -0.08
O  0.325  0.351  0.870  -0.08
O  0.026  0.351  0.630  -0.08
Pu  0.333  0.667  0.750  2.48
O  0.351  0.026  0.130  -0.08
In  0.000  0.000  0.000  0.01
O  0.649  0.974  0.870  -0.08
Dy  0.333  0.667  0.250  0.01
O  0.675  0.649  0.130  -0.08
O  0.974  0.649  0.370  -0.08
O  0.026  0.675  0.870  -0.08
O  0.351  0.325  0.370  -0.08
Pu  0.667  0.333  0.250  2.48
In  0.000  0.000  0.500  0.01
O  0.675  0.026  0.370  -0.08
O  0.325  0.974  0.630  -0.08
Dy  0.667  0.333  0.750  0.01
O  0.649  0.675  0.630  -0.08

(7)
First-principles (PBE) data for crystalline Li2CrNiS at its relaxed geometry, as listed in the Alexandria database.

Symmetry ... P4/mmm, No. 123
Energy relative to the elements, uncorrected ... 36 kJ/mol of formula units
Total energy ... -4.597 eV per atom
Total magnetic moment ... 3.8 μB per formula unit

Cell: 4.300 4.554 4.300 Å, 90.00 90.00 90.00°
Site moments in Bohr magnetons follow the coordinates.
Element x y z (fractional)
Ni  0.500  0.500  0.500  -0.21
Li  0.000  0.000  0.500  0.00
S  0.000  0.000  0.000  0.04
Cr  0.000  0.500  0.000  -3.33
Li  0.500  0.000  0.000  0.00

(8)
First-principles (PBE) data for crystalline Cs5ZnI8 at its relaxed geometry, as listed in the Alexandria database.

Symmetry ... I-4, No. 82
Energy relative to the elements, uncorrected ... -1538 kJ/mol of formula units
Total energy ... -2.420 eV per atom
Total magnetic moment ... 1.1 μB per formula unit

Cell: 10.380 10.380 10.380 Å, 115.34 98.28 115.34°
Site moments in Bohr magnetons follow the coordinates.
Element x y z (fractional)
Zn  0.250  0.500  0.750  0.00
Cs  0.023  0.415  0.154  0.00
I  0.115  0.662  0.869  0.08
I  0.488  0.589  0.296  0.09
I  0.131  0.246  0.793  0.08
I  0.547  0.754  0.885  0.08
Cs  0.739  0.585  0.609  0.00
I  0.207  0.338  0.453  0.08
I  0.704  0.192  0.293  0.09
I  0.102  0.808  0.512  0.09
Cs  0.391  0.130  0.977  0.00
Cs  0.846  0.870  0.261  0.00
I  0.707  0.411  0.898  0.09
Cs  0.500  0.000  0.500  0.00

(9)
First-principles (PBE) data for crystalline CdBiIO6 at its relaxed geometry, as listed in the Alexandria database.

Symmetry ... P4_2nm, No. 102
Energy relative to the elements, uncorrected ... -638 kJ/mol of formula units
Total energy ... -4.746 eV per atom
Total magnetic moment ... 0.0 μB per formula unit

Cell: 5.092 5.092 10.109 Å, 90.00 90.00 90.00°
Element x y z (fractional)
O  0.819  0.181  0.192
O  0.681  0.681  0.692
O  0.319  0.319  0.692
Bi  0.500  0.500  0.497
Bi  0.000  0.000  0.997
I  0.000  0.000  0.334
O  0.234  0.766  0.833
I  0.500  0.500  0.834
O  0.179  0.821  0.475
O  0.266  0.266  0.333
O  0.766  0.234  0.833
Cd  0.000  0.000  0.668
Cd  0.500  0.500  0.168
O  0.734  0.734  0.333
O  0.181  0.819  0.192
O  0.821  0.179  0.475
O  0.679  0.679  0.975
O  0.321  0.321  0.975

(10)
First-principles (PBE) data for crystalline Rb3Ac2UO6 at its relaxed geometry, as listed in the Alexandria database.

Symmetry ... C2/m, No. 12
Energy relative to the elements, uncorrected ... -2796 kJ/mol of formula units
Total energy ... -6.761 eV per atom
Total magnetic moment ... 2.6 μB per formula unit

Cell: 6.634 6.634 7.179 Å, 98.59 98.59 120.12°
Site moments in Bohr magnetons follow the coordinates.
Element x y z (fractional)
O  0.245  0.245  0.838  -0.02
O  0.947  0.652  0.841  -0.03
Ac  0.333  0.667  0.000  0.07
Rb  0.500  0.500  0.500  0.04
O  0.348  0.053  0.159  -0.03
Rb  0.159  0.841  0.500  0.03
O  0.652  0.947  0.841  -0.03
O  0.053  0.348  0.159  -0.03
O  0.755  0.755  0.162  -0.02
Ac  0.667  0.333  0.000  0.07
Rb  0.841  0.159  0.500  0.03
U  0.000  0.000  0.000  1.69

(11)
First-principles (PBE) data for crystalline CsCd2Bi3 at its relaxed geometry, as listed in the Alexandria database.

Symmetry ... I4/mmm, No. 139
ΔH_f (0 K) ... -0.11 eV per atom
Total energy ... -2.496 eV per atom
Energy relative to the lowest polymorph listed for this composition ... 0.0000 eV/atom
Total magnetic moment ... 0.0 μB per formula unit

Cell: 5.084 5.084 17.001 Å, 98.60 98.60 90.00°
Element x y z (fractional)
Bi  0.302  0.302  0.604
Bi  0.549  0.049  0.098
Cs  0.848  0.848  0.696
Bi  0.049  0.549  0.098
Bi  0.451  0.951  0.902
Cs  0.152  0.152  0.304
Bi  0.698  0.698  0.396
Cd  0.250  0.750  0.500
Cd  0.750  0.250  0.500
Bi  0.951  0.451  0.902
Cd  0.604  0.604  0.208
Cd  0.396  0.396  0.792

(12)
First-principles (PBE) data for crystalline Ho3Er2S4 at its relaxed geometry, as listed in the Alexandria database.

Symmetry ... C2/m, No. 12
Energy relative to the elements, uncorrected ... -1509 kJ/mol of formula units
Total energy ... -6.111 eV per atom
Total magnetic moment ... 0.0 μB per formula unit

Cell: 3.823 3.823 15.825 Å, 90.02 89.98 120.00°
Element x y z (fractional)
Ho  0.666  0.334  0.410
Ho  0.000  0.000  0.000
Er  0.333  0.667  0.205
S  0.000  0.000  0.695
Er  0.667  0.333  0.795
S  0.666  0.334  0.103
S  0.334  0.666  0.897
S  0.000  0.000  0.305
Ho  0.334  0.666  0.590